Record 1
# LiNdRu PBE-GGA relaxed
data_LiNdRu
_chemical_formula_sum 'Li1 Nd1 Ru1'
_cell_length_a 5.258
_cell_length_b 5.258
_cell_length_c 5.258
_cell_angle_alpha 140.64
_cell_angle_beta 140.64
_cell_angle_gamma 56.88
_symmetry_space_group_name_H-M 'P 1'
_symmetry_Int_Tables_number 1
loop_
_symmetry_equiv_pos_as_xyz
'x,y,z'
loop_
_atom_site_label
_atom_site_type_symbol
_atom_site_fract_x
_atom_site_fract_y
_atom_site_fract_z
Li1 Li 0.000 0.000 0.000
Nd1 Nd 0.298 0.298 0.000
Ru1 Ru 0.625 0.625 0.000
# Energy above the lowest structure with this stoichiometry (meV/atom): 89

***

Record 2
# AcTmGe2Pd5 PBE-GGA relaxed
data_AcTmGe2Pd5
_chemical_formula_sum 'Ac1 Tm1 Ge2 Pd5'
_cell_length_a 4.362
_cell_length_b 4.362
_cell_length_c 9.101
_cell_angle_alpha 90.00
_cell_angle_beta 90.00
_cell_angle_gamma 90.00
_symmetry_space_group_name_H-M 'P 1'
_symmetry_Int_Tables_number 1
loop_
_symmetry_equiv_pos_as_xyz
'x,y,z'
loop_
_atom_site_label
_atom_site_type_symbol
_atom_site_fract_x
_atom_site_fract_y
_atom_site_fract_z
Ac1 Ac 0.000 0.000 0.000
Tm1 Tm 0.000 0.000 0.500
Ge1 Ge 0.500 0.500 0.367
Ge2 Ge 0.500 0.500 0.633
Pd1 Pd 0.000 0.500 0.239
Pd2 Pd 0.000 0.500 0.761
Pd3 Pd 0.500 0.000 0.239
Pd4 Pd 0.500 0.000 0.761
Pd5 Pd 0.500 0.500 0.000
# VASP energy (eV/atom): -5.62

***

Record 3
# Zr4ScOs PBE-GGA relaxed
data_Zr4ScOs
_chemical_formula_sum 'Zr4 Sc1 Os1'
_cell_length_a 5.650
_cell_length_b 5.650
_cell_length_c 5.650
_cell_angle_alpha 60.00
_cell_angle_beta 60.00
_cell_angle_gamma 60.00
_symmetry_space_group_name_H-M 'P 1'
_symmetry_Int_Tables_number 1
loop_
_symmetry_equiv_pos_as_xyz
'x,y,z'
loop_
_atom_site_label
_atom_site_type_symbol
_atom_site_fract_x
_atom_site_fract_y
_atom_site_fract_z
Zr1 Zr 0.124 0.124 0.124
Zr2 Zr 0.124 0.124 0.627
Zr3 Zr 0.124 0.627 0.124
Zr4 Zr 0.627 0.124 0.124
Sc1 Sc 0.500 0.500 0.500
Os1 Os 0.750 0.750 0.750
# Energy above the lowest structure with this stoichiometry (meV/atom): 617

***

Record 4
# CsCaH PBE-GGA relaxed
data_CsCaH
_chemical_formula_sum 'Cs1 Ca1 H1'
_cell_length_a 4.145
_cell_length_b 4.146
_cell_length_c 6.858
_cell_angle_alpha 90.00
_cell_angle_beta 90.06
_cell_angle_gamma 90.00
_symmetry_space_group_name_H-M 'P 1'
_symmetry_Int_Tables_number 1
loop_
_symmetry_equiv_pos_as_xyz
'x,y,z'
loop_
_atom_site_label
_atom_site_type_symbol
_atom_site_fract_x
_atom_site_fract_y
_atom_site_fract_z
Cs1 Cs 0.000 0.000 0.000
Ca1 Ca 0.502 0.500 0.467
H1 H 0.501 0.500 0.144
# Energy above the lowest structure with this stoichiometry (meV/atom): 0

***

Record 5
# La5Nd5In2 PBE-GGA relaxed
data_La5Nd5In2
_chemical_formula_sum 'La5 Nd5 In2'
_cell_length_a 6.389
_cell_length_b 6.389
_cell_length_c 13.047
_cell_angle_alpha 92.53
_cell_angle_beta 92.53
_cell_angle_gamma 50.97
_symmetry_space_group_name_H-M 'P 1'
_symmetry_Int_Tables_number 1
loop_
_symmetry_equiv_pos_as_xyz
'x,y,z'
loop_
_atom_site_label
_atom_site_type_symbol
_atom_site_fract_x
_atom_site_fract_y
_atom_site_fract_z
La1 La 0.000 0.000 0.000
La2 La 0.344 0.344 0.487
La3 La 0.415 0.415 0.191
La4 La 0.585 0.585 0.809
La5 La 0.656 0.656 0.513
Nd1 Nd 0.000 0.000 0.500
Nd2 Nd 0.123 0.123 0.265
Nd3 Nd 0.300 0.300 0.925
Nd4 Nd 0.700 0.700 0.075
Nd5 Nd 0.877 0.877 0.735
In1 In 0.188 0.188 0.695
In2 In 0.812 0.812 0.305
# Energy above the lowest structure with this stoichiometry (meV/atom): 49

***

Record 6
# HfAl3H PBE-GGA relaxed
data_HfAl3H
_chemical_formula_sum 'Hf1 Al3 H1'
_cell_length_a 4.114
_cell_length_b 4.114
_cell_length_c 4.114
_cell_angle_alpha 90.00
_cell_angle_beta 90.00
_cell_angle_gamma 90.00
_symmetry_space_group_name_H-M 'P 1'
_symmetry_Int_Tables_number 1
loop_
_symmetry_equiv_pos_as_xyz
'x,y,z'
loop_
_atom_site_label
_atom_site_type_symbol
_atom_site_fract_x
_atom_site_fract_y
_atom_site_fract_z
Hf1 Hf 0.000 0.000 0.000
Al1 Al 0.000 0.500 0.500
Al2 Al 0.500 0.000 0.500
Al3 Al 0.500 0.500 0.000
H1 H 0.500 0.500 0.500
# Energy above the lowest structure with this stoichiometry (meV/atom): 0